Computed, not measured: a relaxed HfGaMoO6 crystal at the GGA+U level of DFT.

Lattice parameters (Å, degrees): 4.7138 4.7138 9.4242 90.00 90.00 90.00
Last column: magnetic moment on the atom in μB.
Fractional coordinates of all 18 atoms:
Hf 0.5000 0.5000 0.1697  0.02
Hf 0.0000 0.0000 0.6697  0.02
Ga 0.5000 0.5000 0.8325  0.03
Ga 0.0000 0.0000 0.3325  0.03
Mo 0.5000 0.5000 0.5008  0.99
Mo 0.0000 0.0000 0.0008  0.99
O 0.2051 0.7949 0.4960  -0.02
O 0.7949 0.2051 0.4960  -0.02
O 0.2949 0.2949 0.9960  -0.02
O 0.7051 0.7051 0.9960  -0.02
O 0.1896 0.8104 0.1664  -0.01
O 0.8104 0.1896 0.1664  -0.01
O 0.3104 0.3104 0.6664  -0.01
O 0.6896 0.6896 0.6664  -0.01
O 0.7998 0.2002 0.8361  0.01
O 0.2002 0.7998 0.8361  0.01
O 0.7002 0.7002 0.3361  0.01
O 0.2998 0.2998 0.3361  0.01

Summary:
**Space-group type**: P4_2nm, No. 102
**VASP energy**: -7.83 eV/atom